Density functional theory data (PBE+U) for a relaxed CaV2PbO8 crystal.

The value obtained for the total energy is -6.825 eV/atom. The total magnetization comes out at 0.00 μB per formula unit. Its density of states at the Fermi level is 0.000 states/eV per atom.

The structure belongs to space group P-3m1 (No. 164); the cell edges are 5.8743, 5.8743 and 6.4414 Å and the angles 90.00°, 90.00° and 120.00°. The distinct sites, in fractional coordinates, are Ca at (0.0000, 0.0000, 0.0000), V at (0.3333, 0.6667, 0.3450), Pb at (0.0000, 0.0000, 0.5000), O at (0.1633, 0.3266, 0.2659) and O at (0.3333, 0.6667, 0.5969).

=====

Density functional theory data (PBE+U) for a relaxed CaVPbO5 crystal.

The value obtained for the total energy is -6.662 eV/atom. The total magnetization comes out at 0.00 μB per formula unit.

The structure belongs to space group C2/c (No. 15); the cell edges are 7.1585, 9.4951 and 7.8335 Å and the angles 90.00°, 110.36° and 90.00°. The distinct sites, in fractional coordinates, are Ca at (0.0000, 0.1601, 0.2500), V at (0.0000, 0.1766, 0.7500), Pb at (0.0000, 0.5000, 0.0000), O at (0.0000, 0.4028, 0.2500), O at (0.1420, 0.2835, 0.6578) and O at (0.1465, 0.0613, 0.9157).

=====

Density functional theory data (PBE+U) for a relaxed CaPb2WO8 crystal.

The value obtained for the total energy is -6.297 eV/atom. The total magnetization comes out at 0.00 μB per formula unit.

The structure belongs to space group P2/m (No. 10); the cell edges are 5.0102, 6.7499 and 5.0156 Å and the angles 90.00°, 90.47° and 90.00°. The distinct sites, in fractional coordinates, are Ca at (0.0000, 0.0000, 0.0000), Pb at (0.5000, 0.2491, 0.5000), W at (0.0000, 0.5000, 0.0000), O at (0.1864, 0.2918, 0.1855), O at (0.2871, 0.5000, 0.7122) and O at (0.3100, 0.0000, 0.6878).

=====

Density functional theory data (PBE+U) for a relaxed CaPbWO6 crystal.

The value obtained for the total energy is -6.609 eV/atom. The total magnetization comes out at 0.00 μB per formula unit. Its density of states at the Fermi level is 0.000 states/eV per atom.

The structure belongs to space group P-31c (No. 163); the cell edges are 5.5177, 5.5177 and 9.9635 Å and the angles 90.00°, 90.00° and 120.00°. The distinct sites, in fractional coordinates, are Ca at (0.0000, 0.0000, 0.0000), Pb at (0.3333, 0.6667, 0.2500), W at (0.3333, 0.6667, 0.7500) and O at (0.0329, 0.3815, 0.6380).

=====

Density functional theory data (PBE+U) for a relaxed CaPbW2O8 crystal.

The value obtained for the total energy is -7.055 eV/atom. The total magnetization comes out at 0.00 μB per formula unit. Its density of states at the Fermi level is 0.000 states/eV per atom.

The structure belongs to space group I-4m2 (No. 119); the cell edges are 7.6843, 7.6843 and 6.9179 Å and the angles 90.00°, 90.00° and 90.00°. The distinct sites, in fractional coordinates, are Ca at (0.0000, 0.0000, 0.0000), Pb at (0.0000, 0.5000, 0.2500), W at (0.0000, 0.0000, 0.5000), W at (0.0000, 0.5000, 0.7500), O at (0.0000, 0.1830, 0.3343) and O at (0.0000, 0.3100, 0.9076).

=====

Density functional theory data (PBE+U) for a relaxed Ca2PbWO6 crystal.

The value obtained for the total energy is -6.580 eV/atom. The total magnetization comes out at 0.00 μB per formula unit.

The structure belongs to space group P4mm (No. 99); the cell edges are 5.7244, 5.7244 and 5.4919 Å and the angles 90.00°, 90.00° and 90.00°. The distinct sites, in fractional coordinates, are Ca at (0.0000, 0.5000, 0.0000), Pb at (0.0000, 0.0000, 0.5659), W at (0.5000, 0.5000, 0.6692), O at (0.0000, 0.0000, 0.1696), O at (0.2767, 0.2767, 0.7845) and O at (0.5000, 0.5000, 0.3380).